(1)
Entry from Alexandria: CrMoW2C at its PBEsol-relaxed geometry (SCAN).

a = 4.424 Å, b = 4.424 Å, c = 4.338 Å
α = 90.00°, β = 90.00°, γ = 90.00°
Space group P4/mmm (No. 123)
One atom of each set of equivalent atoms:
1 Cr 0.000 0.000 0.000 [1 per cell]
2 Mo 0.000 0.000 0.500 [1 per cell]
3 W 0.000 0.500 0.000 [2 per cell]
4 C 0.500 0.500 0.500 [1 per cell]

Calculated values
energy = -37.77 eV/atom
DFT formation energy = 2780 meV/atom
DOS at the Fermi energy = 4.37 states/eV per cell

***

(2)
Entry from Alexandria: Cr3CN at its PBEsol-relaxed geometry (SCAN).

a = 3.721 Å, b = 3.721 Å, c = 3.721 Å
α = 90.00°, β = 90.00°, γ = 90.00°
Space group Pm-3m (No. 221)
One atom of each set of equivalent atoms:
1 Cr 0.000 0.000 0.500 [3 per cell]
2 C 0.000 0.000 0.000 [1 per cell]
3 N 0.500 0.500 0.500 [1 per cell]

Calculated values
energy = -13.84 eV/atom
DOS at the Fermi energy = 4.46 states/eV per cell

***

(3)
Entry from Alexandria: Cr2CN at its PBEsol-relaxed geometry (SCAN).

a = 4.344 Å, b = 4.344 Å, c = 8.698 Å
α = 90.00°, β = 90.00°, γ = 90.00°
Space group I-42d (No. 122)
One atom of each set of equivalent atoms:
1 Cr 0.243 0.250 0.125 [8 per cell]
2 C 0.000 0.000 0.500 [4 per cell]
3 N 0.000 0.000 0.000 [4 per cell]

Calculated values
energy = -14.32 eV/atom
DOS at the Fermi energy = 6.89 states/eV per cell

***

(4)
Entry from Alexandria: CrCN2O at its PBEsol-relaxed geometry (SCAN).

a = 3.738 Å, b = 3.738 Å, c = 3.455 Å
α = 90.00°, β = 90.00°, γ = 90.00°
Space group P4/mmm (No. 123)
One atom of each set of equivalent atoms:
1 Cr 0.000 0.000 0.000 [1 per cell]
2 C 0.500 0.500 0.500 [1 per cell]
3 N 0.000 0.500 0.000 [2 per cell]
4 O 0.000 0.000 0.500 [1 per cell]

Calculated values
energy = -9.16 eV/atom
DOS at the Fermi energy = 3.16 states/eV per cell